Record 1
Below is an optimized crystal structure of BeAgBr2, with properties calculated at the PBE level.

Computed properties:
Offset from the most stable computed form in meV per atom: 268
V in Å³ per cell: 107.42
M_tot in μB per atom: 0.000

Unit cell a=3.334 b=3.334 c=9.666 alpha=90.00 beta=90.00 gamma=90.00
Positions (direct):
Be (0.500, 0.500, 0.776)
Br (0.000, 0.000, 0.873)
Br (0.500, 0.500, 0.569)
Ag (0.000, 0.000, 0.282)

***

Record 2
Below is an optimized crystal structure of BaAlPS2, with properties calculated at the PBE level.

Computed properties:
Offset from the most stable computed form in meV per atom: 1539
V in Å³ per cell: 219.09
M_tot in μB per atom: 0.807

Unit cell a=5.929 b=5.929 c=6.232 alpha=90.00 beta=90.00 gamma=90.00
Positions (direct):
P (0.000, 0.000, 0.500)
S (0.000, 0.500, 0.000)
S (0.500, 0.000, 0.000)
Ba (0.000, 0.000, 0.000)
Al (0.500, 0.500, 0.500)

***

Record 3
Below is an optimized crystal structure of Tb2CS2N2, with properties calculated at the PBE level.

Computed properties:
V in Å³ per cell: 124.14
M_tot in μB per atom: 0.000
Calculated total energy in eV/atom: -7.611

Unit cell a=4.013 b=4.977 c=6.870 alpha=97.89 beta=90.00 gamma=113.78
Positions (direct):
Tb (0.684, 0.368, 0.246)
Tb (0.316, 0.632, 0.754)
C (0.000, 0.000, 0.500)
S (0.626, 0.252, 0.842)
S (0.374, 0.748, 0.158)
N (0.877, 0.755, 0.556)
N (0.123, 0.245, 0.444)

***

Record 4
Below is an optimized crystal structure of Sm8Cd3Os2, with properties calculated at the PBE level.

Computed properties:
V in Å³ per cell: 363.77
M_tot in μB per atom: 0.000
Calculated total energy in eV/atom: -4.924

Unit cell a=4.916 b=8.308 c=9.835 alpha=114.99 beta=92.27 gamma=90.00
Positions (direct):
Sm (0.253, 0.572, 0.143)
Sm (0.747, 0.428, 0.857)
Sm (0.237, 0.164, 0.328)
Sm (0.763, 0.836, 0.672)
Sm (0.248, 0.113, 0.655)
Sm (0.248, 0.541, 0.655)
Sm (0.752, 0.459, 0.345)
Sm (0.752, 0.887, 0.345)
Cd (0.500, 0.000, 0.000)
Cd (0.000, 0.816, 0.000)
Cd (0.000, 0.184, 0.000)
Os (0.770, 0.271, 0.541)
Os (0.230, 0.729, 0.459)

***

Record 5
Below is an optimized crystal structure of AlSiSbH2, with properties calculated at the PBE level.

Computed properties:
V in Å³ per cell: 75.58
M_tot in μB per atom: 0.000
Calculated total energy in eV/atom: -3.668

Unit cell a=3.715 b=5.476 c=3.715 alpha=90.00 beta=90.00 gamma=90.00
Positions (direct):
Sb (0.500, 0.500, 0.500)
Si (0.000, 0.500, 0.000)
Al (0.000, 0.000, 0.000)
H (0.000, 0.000, 0.500)
H (0.500, 0.000, 0.000)

***

Record 6
Below is an optimized crystal structure of MoAs2Ir, with properties calculated at the PBE level.

Computed properties:
Offset from the most stable computed form in meV per atom: 110
V in Å³ per cell: 74.86
M_tot in μB per atom: 0.000

Unit cell a=10.377 b=10.377 c=10.377 alpha=16.09 beta=16.09 gamma=16.09
Positions (direct):
Mo (0.756, 0.756, 0.756)
Ir (0.496, 0.496, 0.496)
As (0.022, 0.022, 0.022)
As (0.226, 0.226, 0.226)

***

Record 7
Below is an optimized crystal structure of PaNCl3, with properties calculated at the PBE level.

Computed properties:
Offset from the most stable computed form in meV per atom: 971
V in Å³ per cell: 307.06
M_tot in μB per atom: 0.887

Unit cell a=5.818 b=5.812 c=9.926 alpha=100.98 beta=89.35 gamma=69.29
Positions (direct):
Pa (0.934, 0.399, 0.527)
Pa (0.433, 0.901, 0.527)
N (0.495, 0.431, 0.973)
N (0.875, 0.869, 0.081)
Cl (0.287, 0.139, 0.312)
Cl (0.081, 0.161, 0.742)
Cl (0.420, 0.432, 0.611)
Cl (0.647, 0.498, 0.313)
Cl (0.947, 0.868, 0.444)
Cl (0.721, 0.801, 0.742)

***

Record 8
Below is an optimized crystal structure of AcTm2MnN4, with properties calculated at the PBE level.

Computed properties:
V in Å³ per cell: 234.10
M_tot in μB per atom: 0.444
Calculated total energy in eV/atom: -8.172

Unit cell a=3.449 b=6.111 c=11.577 alpha=90.00 beta=90.00 gamma=106.39
Positions (direct):
Ac (0.099, 0.198, 0.750)
Ac (0.901, 0.802, 0.250)
Tm (0.370, 0.739, 0.545)
Tm (0.630, 0.261, 0.045)
Tm (0.630, 0.261, 0.455)
Tm (0.370, 0.739, 0.955)
Mn (0.833, 0.665, 0.750)
Mn (0.167, 0.335, 0.250)
N (0.264, 0.527, 0.121)
N (0.736, 0.473, 0.621)
N (0.736, 0.473, 0.879)
N (0.264, 0.527, 0.379)
N (0.000, 0.000, 0.500)
N (0.000, 0.000, 0.000)
N (0.417, 0.833, 0.750)
N (0.583, 0.167, 0.250)

***

Please write out number 1 again, unchanged.
Below is an optimized crystal structure of BeAgBr2, with properties calculated at the PBE level.

Computed properties:
Offset from the most stable computed form in meV per atom: 268
V in Å³ per cell: 107.42
M_tot in μB per atom: 0.000

Unit cell a=3.334 b=3.334 c=9.666 alpha=90.00 beta=90.00 gamma=90.00
Positions (direct):
Be (0.500, 0.500, 0.776)
Br (0.000, 0.000, 0.873)
Br (0.500, 0.500, 0.569)
Ag (0.000, 0.000, 0.282)

***

- What is the formula in the first record?
  BeAgBr2

***

- Look up the M_tot of the seventh one.
  0.887 μB per atom